Material: Tb2PrHoTl4
Method: DFT, PBE
State: optimized geometry

abc: 5.420 5.420 9.416
angles: 73.27 73.27 60.00
Positions (direct):
Tb: 0.751 0.751 0.748
Tb: 0.249 0.249 0.252
Pr: 0.000 0.000 0.000
Ho: 0.500 0.500 0.500
Tl: 0.377 0.377 0.869
Tl: 0.873 0.873 0.381
Tl: 0.127 0.127 0.619
Tl: 0.623 0.623 0.131

**SG**: No. 166
**Formation energy**: -2.8 eV/f.u.
**Total moment**: 0.0 μB/cell

Material: Ce2GaGe4Pd3
Method: DFT, PBE
State: optimized geometry

abc: 4.281 4.281 10.568
angles: 90.00 90.00 90.00
Last column: magnetic moment on the atom in μB.
Positions (direct):
Ce: 0.500 0.000 0.246  0.64
Ce: 0.000 0.500 0.754  0.64
Ga: 0.500 0.500 0.500  -0.01
Ge: 0.500 0.500 0.000  -0.01
Ge: 0.000 0.000 0.000  0.00
Ge: 0.500 0.000 0.640  -0.01
Ge: 0.000 0.500 0.360  -0.01
Pd: 0.000 0.000 0.500  -0.01
Pd: 0.500 0.000 0.871  -0.01
Pd: 0.000 0.500 0.129  -0.01

**SG**: No. 115
**Formation energy**: -7.1 eV/f.u.
**Total moment**: 1.3 μB/cell

Material: TlOsN3
Method: DFT, PBE
State: optimized geometry

abc: 3.948 3.948 3.948
angles: 90.00 90.00 90.00
Positions (direct):
Tl: 0.500 0.500 0.500
Os: 0.000 0.000 0.000
N: 0.000 0.500 0.000
N: 0.000 0.000 0.500
N: 0.500 0.000 0.000

**ΔE_f (raw)**: 1.0058 eV/atom
**SG**: No. 221
**Total moment**: 0.0 μB/cell

Material: Ta2MnCr
Method: DFT, PBE
State: optimized geometry

abc: 8.086 8.086 8.086
angles: 21.30 21.30 21.30
Last column: magnetic moment on the atom in μB.
Positions (direct):
Cr: 0.250 0.250 0.250  0.34
Mn: 0.750 0.750 0.750  0.77
Ta: 0.001 0.001 0.001  -0.12
Ta: 0.499 0.499 0.499  -0.12

**SG**: No. 166
**Formation energy**: 1.2 eV/f.u.
**Total moment**: 0.8 μB/cell

Material: Tb8Er5Zr
Method: DFT, PBE
State: optimized geometry

abc: 8.359 8.376 8.359
angles: 110.75 102.97 114.81
Positions (direct):
Tb: 0.195 0.701 0.899
Tb: 0.908 0.190 0.718
Tb: 0.713 0.106 0.214
Tb: 0.626 0.300 0.924
Tb: 0.623 0.700 0.325
Tb: 0.528 0.810 0.718
Tb: 0.198 0.299 0.494
Tb: 0.108 0.894 0.607
Er: 0.112 0.503 0.212
Er: 0.915 0.810 0.104
Er: 0.709 0.497 0.609
Er: 0.409 0.000 0.409
Er: 0.295 0.190 0.105
Zr: 0.411 0.500 0.911

**SG**: No. 5
**Formation energy**: 2.4 eV/f.u.
**Total moment**: 0.0 μB/cell

Material: Cs4Rb7Cd
Method: DFT, PBE
State: optimized geometry

abc: 9.088 9.088 18.167
angles: 77.20 77.20 49.04
Positions (direct):
Cs: 0.947 0.947 0.806
Cs: 0.053 0.053 0.194
Cs: 0.333 0.333 0.272
Cs: 0.667 0.667 0.728
Rb: 0.766 0.766 0.089
Rb: 0.234 0.234 0.911
Rb: 0.602 0.602 0.375
Rb: 0.398 0.398 0.625
Rb: 0.866 0.866 0.463
Rb: 0.500 0.500 0.000
Rb: 0.134 0.134 0.537
Cd: 0.000 0.000 0.000

**SG**: No. 12
**Formation energy**: 0.1 eV/f.u.
**Total moment**: 0.0 μB/cell